DFT (PBE) results for a relaxed structure of K2Al.

Lattice parameters (Å, degrees): 6.8671 6.8671 6.8671 148.97 132.80 57.57
Last column: nearest neighbours and their distance in Å.
Element x y z (fractional)
K (0.6522, 0.6522, 0.0000)  7 K 3.66-4.06, 4 Al 3.78
K (0.3478, 0.3478, 0.0000)  7 K 3.66-4.06, 4 Al 3.78
Al (0.0000, 0.0000, 0.0000)  2 Al 3.67, 8 K 3.78

Output
Density of states at the Fermi level ... 2.16 states/eV/cell
Calculated formation energy ... 0.373 eV/atom
Relative energy among the computed polymorphs ... 0.702 eV per formula unit
Total magnetization ... 0.00 μB per formula unit